NaFe2F8: relaxed, PBE+U.

Cell lengths 9.993, 6.132, 5.219 Å; angles 90.00, 99.83, 90.00 degrees
Space group C2/m (No. 12)
Symmetry-distinct sites (fractional):
Na 0.000 0.000 0.000
Fe 0.227 0.500 0.474
F 0.118 0.500 0.715
F 0.145 0.221 0.328
F 0.173 0.000 0.787

Properties
Distance to the lowest polymorph of the same formula = 0 meV per atom